{"formula": "Ac2HfCdPd6", "functional": "PBE-GGA", "state": "optimized geometry", "total_energy_ev_per_cell": -52.61, "n_ef_per_ev_cell": 7.812, "lattice": [[7.102, 0.000, 0.000], [0.000, 7.102, 0.000], [3.551, 3.551, 5.022]], "species": ["Ac", "Ac", "Hf", "Cd", "Pd", "Pd", "Pd", "Pd", "Pd", "Pd"], "fractional_positions": [[0.250, 0.750, 0.500], [0.750, 0.250, 0.500], [0.500, 0.500, 0.000], [0.000, 0.000, 0.000], [0.255, 0.745, 0.000], [0.745, 0.745, 0.000], [0.255, 0.255, 0.490], [0.745, 0.255, 0.000], [0.255, 0.255, 0.000], [0.745, 0.745, 0.510]]}